[1]
Tb2Sm3Th4: relaxed, GGA-PBE.

Unit cell a=9.5768 b=9.5768 c=8.9710 alpha=103.66 beta=103.66 gamma=21.72
With the nearest neighbours (Å) after each atom.
Positions (direct):
Tb: 0.2389 0.2389 0.1715  5 Th 3.50-3.55, 3 Sm 3.58-3.68, 4 Tb 3.61-3.68
Tb: 0.7611 0.7611 0.8285  5 Th 3.50-3.55, 3 Sm 3.58-3.68, 4 Tb 3.61-3.68
Sm: 0.0915 0.0915 0.8343  4 Sm 3.57-3.61, 5 Th 3.58-3.64, 3 Tb 3.58-3.68
Sm: 0.5000 0.5000 0.5000  6 Sm 3.57-3.61, 6 Th 3.59-3.65
Sm: 0.9085 0.9085 0.1657  4 Sm 3.57-3.61, 5 Th 3.58-3.64, 3 Tb 3.58-3.68
Th: 0.1689 0.1689 0.5000  3 Tb 3.50-3.53, 6 Th 3.54-3.61, 3 Sm 3.64-3.65
Th: 0.4237 0.4237 0.8308  2 Tb 3.55, 5 Th 3.55-3.64, 5 Sm 3.58-3.63
Th: 0.5763 0.5763 0.1692  2 Tb 3.55, 5 Th 3.55-3.64, 5 Sm 3.58-3.63
Th: 0.8311 0.8311 0.5000  3 Tb 3.50-3.53, 6 Th 3.54-3.61, 3 Sm 3.64-3.65

## Properties
Total DFT energy (no corrections), eV per atom: -5.868
M_tot, μB/f.u.: 0.0
Symmetry: C2/m, No. 12
Energy of formation from the pure elements, eV/f.u.: 0.28
Fermi-level density of states, states/eV per cell: 11.553

[2]
Tb12SmTh5: relaxed, GGA-PBE.

Unit cell a=10.7037 b=10.7037 c=6.1963 alpha=106.63 beta=106.63 gamma=59.80
With the nearest neighbours (Å) after each atom.
Positions (direct):
Tb: 0.0018 0.3314 0.8326  7 Tb 3.52-3.61, 5 Th 3.56-3.58
Tb: 0.1619 0.8381 0.0000  7 Tb 3.46-3.63, 4 Th 3.54-3.55, 1 Sm 3.61
Tb: 0.1669 0.4972 0.6633  4 Th 3.52-3.61, 7 Tb 3.52-3.63, 1 Sm 3.59
Tb: 0.3314 0.0018 0.8326  7 Tb 3.52-3.61, 5 Th 3.56-3.58
Tb: 0.3342 0.6658 0.5000  7 Tb 3.54-3.60, 3 Th 3.57-3.58, 2 Sm 3.57
Tb: 0.4972 0.1669 0.6633  4 Th 3.52-3.61, 7 Tb 3.52-3.63, 1 Sm 3.59
Tb: 0.5028 0.8331 0.3367  4 Th 3.52-3.61, 7 Tb 3.52-3.63, 1 Sm 3.59
Tb: 0.6658 0.3342 0.5000  7 Tb 3.54-3.60, 3 Th 3.57-3.58, 2 Sm 3.57
Tb: 0.6686 0.9982 0.1674  7 Tb 3.52-3.61, 5 Th 3.56-3.58
Tb: 0.8331 0.5028 0.3367  4 Th 3.52-3.61, 7 Tb 3.52-3.63, 1 Sm 3.59
Tb: 0.8381 0.1619 0.0000  7 Tb 3.46-3.63, 4 Th 3.54-3.55, 1 Sm 3.61
Tb: 0.9982 0.6686 0.1674  7 Tb 3.52-3.61, 5 Th 3.56-3.58
Sm: 0.5000 0.5000 0.0000  10 Tb 3.57-3.61, 2 Th 3.61
Th: 0.0000 0.0000 0.5000  10 Tb 3.55-3.57, 2 Th 3.57
Th: 0.1664 0.1664 0.3318  2 Th 3.53-3.57, 10 Tb 3.54-3.57
Th: 0.3319 0.3319 0.1712  10 Tb 3.52-3.61, 1 Th 3.53, 1 Sm 3.61
Th: 0.6681 0.6681 0.8288  10 Tb 3.52-3.61, 1 Th 3.53, 1 Sm 3.61
Th: 0.8336 0.8336 0.6682  2 Th 3.53-3.57, 10 Tb 3.54-3.57

## Properties
Total DFT energy (no corrections), eV per atom: -5.363
M_tot, μB/f.u.: 0.0
Symmetry: C2/m, No. 12
Energy of formation from the pure elements, eV/f.u.: 0.84
Fermi-level density of states, states/eV per cell: 28.302

[3]
Tb7SmTh3: relaxed, GGA-PBE.

Unit cell a=6.4602 b=6.7131 c=8.6852 alpha=101.30 beta=97.20 gamma=96.76
With the nearest neighbours (Å) after each atom.
Positions (direct):
Tb: 0.0000 0.0000 0.0000  2 Sm 3.36, 6 Tb 3.42-3.56, 2 Th 3.48
Tb: 0.0716 0.7158 0.6431  6 Tb 3.38-3.59, 3 Th 3.52-3.76, 1 Sm 3.73
Tb: 0.2067 0.2310 0.7046  1 Sm 3.35, 4 Th 3.36-3.60, 6 Tb 3.38-3.67
Tb: 0.4921 0.7320 0.9244  6 Tb 3.39-3.67, 1 Sm 3.57, 2 Th 3.62-3.72
Tb: 0.5079 0.2680 0.0756  6 Tb 3.39-3.67, 1 Sm 3.57, 2 Th 3.62-3.72
Tb: 0.7933 0.7690 0.2954  1 Sm 3.35, 4 Th 3.36-3.60, 6 Tb 3.38-3.67
Tb: 0.9284 0.2842 0.3569  6 Tb 3.38-3.59, 3 Th 3.52-3.76, 1 Sm 3.73
Sm: 0.0000 0.5000 0.0000  8 Tb 3.35-3.73
Th: 0.3252 0.9489 0.3363  2 Th 3.30-3.68, 6 Tb 3.42-3.62
Th: 0.5000 0.5000 0.5000  8 Tb 3.36-3.76, 2 Th 3.68
Th: 0.6748 0.0511 0.6637  2 Th 3.30-3.68, 6 Tb 3.42-3.62

## Properties
Total DFT energy (no corrections), eV per atom: -5.246
M_tot, μB/f.u.: 0.0
Symmetry: P-1, No. 2
Energy of formation from the pure elements, eV/f.u.: 1.69
Fermi-level density of states, states/eV per cell: 17.324

Q: The highest energy of formation from the pure elements belongs to which entry?
A: Tb7SmTh3

Q: Fermi-level density of states of number 1 (Tb2Sm3Th4)?
A: 11.553 states/eV per cell

Please write out number 3 again, unchanged.
Tb7SmTh3: relaxed, GGA-PBE.

Unit cell a=6.4602 b=6.7131 c=8.6852 alpha=101.30 beta=97.20 gamma=96.76
With the nearest neighbours (Å) after each atom.
Positions (direct):
Tb: 0.0000 0.0000 0.0000  2 Sm 3.36, 6 Tb 3.42-3.56, 2 Th 3.48
Tb: 0.0716 0.7158 0.6431  6 Tb 3.38-3.59, 3 Th 3.52-3.76, 1 Sm 3.73
Tb: 0.2067 0.2310 0.7046  1 Sm 3.35, 4 Th 3.36-3.60, 6 Tb 3.38-3.67
Tb: 0.4921 0.7320 0.9244  6 Tb 3.39-3.67, 1 Sm 3.57, 2 Th 3.62-3.72
Tb: 0.5079 0.2680 0.0756  6 Tb 3.39-3.67, 1 Sm 3.57, 2 Th 3.62-3.72
Tb: 0.7933 0.7690 0.2954  1 Sm 3.35, 4 Th 3.36-3.60, 6 Tb 3.38-3.67
Tb: 0.9284 0.2842 0.3569  6 Tb 3.38-3.59, 3 Th 3.52-3.76, 1 Sm 3.73
Sm: 0.0000 0.5000 0.0000  8 Tb 3.35-3.73
Th: 0.3252 0.9489 0.3363  2 Th 3.30-3.68, 6 Tb 3.42-3.62
Th: 0.5000 0.5000 0.5000  8 Tb 3.36-3.76, 2 Th 3.68
Th: 0.6748 0.0511 0.6637  2 Th 3.30-3.68, 6 Tb 3.42-3.62

## Properties
Total DFT energy (no corrections), eV per atom: -5.246
M_tot, μB/f.u.: 0.0
Symmetry: P-1, No. 2
Energy of formation from the pure elements, eV/f.u.: 1.69
Fermi-level density of states, states/eV per cell: 17.324